--- one ---
Material: FeGe2Ru
Method: DFT, GGA-PBE
State: relaxed

The value obtained for the magnetic moment is 0.00 μB/f.u.

The space group is Fm-3m (No. 225) and the conventional cell measures 5.964, 5.964 and 5.964 Å, with angles of 90.00, 90.00 and 90.00 degrees. The asymmetric unit holds Fe at (0.000, 0.000, 0.000), Ge at (0.250, 0.250, 0.250) and Ru at (0.000, 0.000, 0.500).



--- two ---
Material: FeGe2Ru
Method: DFT, GGA-PBE
State: relaxed

The value obtained for the magnetic moment is 0.00 μB/f.u.

The space group is P4/mmm (No. 123) and the conventional cell measures 2.977, 2.977 and 5.929 Å, with angles of 90.00, 90.00 and 90.00 degrees. The asymmetric unit holds Fe at (0.000, 0.000, 0.000), Ge at (0.500, 0.500, 0.239) and Ru at (0.000, 0.000, 0.500).



Top of the stability list: two, leading by 14 meV/atom.